[1]
A plane-wave DFT calculation with GGA-PBE was carried out for an optimized crystal structure of CdPtRh.

Cell and atoms, written as extended XYZ:
```
3
Lattice="-1.4311 1.4311 6.0186 1.4311 -1.4311 6.0186 1.4311 1.4311 -6.0186" Properties=species:S:1:pos:R:3 pbc="T T T"
Cd 0.0000 0.0000 0.0000
Pt 0.0000 0.0000 3.9008
Rh 0.0000 0.0000 8.0703
```

Relative energy among the computed polymorphs ... 0 meV per atom
ΔH_f (0 K) ... -0.26 eV/f.u.
Calculated volume ... 49.3 Å³/cell
M_tot ... 0.569 μB per formula unit
N(E_F) ... 4.05 states/eV per cell

=====

[2]
A plane-wave DFT calculation with GGA-PBE was carried out for an optimized crystal structure of Cd5Pt6Rh.

Cell and atoms, written as extended XYZ:
```
12
Lattice="-2.0811 3.9632 6.2085 2.0811 -3.9632 6.2085 2.0811 3.9632 -6.2085" Properties=species:S:1:pos:R:3 pbc="T T T"
Cd 0.0000 0.0000 0.0000
Cd 2.0811 0.0000 2.0803
Cd 0.0000 0.0000 4.1962
Cd 0.0000 0.0000 8.2207
Cd 0.0000 3.9632 4.1282
Pt 2.0811 -1.9657 4.1723
Pt 2.0811 2.0107 0.0000
Pt 0.0000 1.9976 2.0361
Pt 2.0811 1.9657 4.1723
Pt 0.0000 1.9525 6.2085
Pt 0.0000 5.9289 2.0361
Rh 0.0000 3.9632 0.0000
```

ΔH_f (0 K) ... -2.88 eV/f.u.
Calculated volume ... 204.8 Å³/cell
M_tot ... 0.000 μB per formula unit
N(E_F) ... 6.60 states/eV per cell

=====

[3]
A plane-wave DFT calculation with GGA-PBE was carried out for an optimized crystal structure of CdPtRh2.

Cell and atoms, written as extended XYZ:
```
4
Lattice="0.0000 3.1844 3.1844 3.1844 0.0000 3.1844 3.1844 3.1844 0.0000" Properties=species:S:1:pos:R:3 pbc="T T T"
Cd 0.0000 0.0000 0.0000
Pt 1.5922 1.5922 1.5922
Rh 3.1844 3.1844 3.1844
Rh 4.7765 4.7765 4.7765
```

ΔH_f (0 K) ... 0.50 eV/f.u.
Calculated volume ... 64.6 Å³/cell
M_tot ... 1.581 μB per formula unit
N(E_F) ... 6.28 states/eV per cell

=====

[4]
A plane-wave DFT calculation with GGA-PBE was carried out for an optimized crystal structure of Cd2PtRh2.

Cell and atoms, written as extended XYZ:
```
5
Lattice="-1.7700 1.7700 7.4758 1.7700 -1.7700 7.4758 1.7700 1.7700 -7.4758" Properties=species:S:1:pos:R:3 pbc="T T T"
Cd 0.0000 0.0000 1.4676
Cd 0.0000 0.0000 13.4839
Pt 0.0000 0.0000 7.4758
Rh 1.7700 0.0000 3.7379
Rh 0.0000 1.7700 3.7379
```

Relative energy among the computed polymorphs ... 210 meV per atom
ΔH_f (0 K) ... 1.23 eV/f.u.
Calculated volume ... 93.7 Å³/cell
M_tot ... 1.025 μB per formula unit
N(E_F) ... 5.86 states/eV per cell

=====

[5]
A plane-wave DFT calculation with GGA-PBE was carried out for an optimized crystal structure of CdPt2Rh.

Cell and atoms, written as extended XYZ:
```
4
Lattice="0.0000 3.2001 3.2001 3.2001 0.0000 3.2001 3.2001 3.2001 0.0000" Properties=species:S:1:pos:R:3 pbc="T T T"
Cd 0.0000 0.0000 0.0000
Pt 3.2001 3.2001 3.2001
Pt 4.8002 4.8002 4.8002
Rh 1.6001 1.6001 1.6001
```

ΔH_f (0 K) ... 0.07 eV/f.u.
Calculated volume ... 65.5 Å³/cell
M_tot ... 0.642 μB per formula unit
N(E_F) ... 7.38 states/eV per cell

=====

[6]
A plane-wave DFT calculation with GGA-PBE was carried out for an optimized crystal structure of Cd3Pt12Rh.

Cell and atoms, written as extended XYZ:
```
16
Lattice="4.0034 0.0000 0.0000 0.0000 4.0034 0.0000 0.0000 0.0000 16.1597" Properties=species:S:1:pos:R:3 pbc="T T T"
Cd 0.0000 0.0000 0.0000
Cd 0.0000 0.0000 4.0847
Cd 0.0000 0.0000 12.0751
Pt 0.0000 2.0017 2.0440
Pt 0.0000 2.0017 6.1477
Pt 0.0000 2.0017 10.0120
Pt 0.0000 2.0017 14.1158
Pt 2.0017 0.0000 2.0440
Pt 2.0017 0.0000 6.1477
Pt 2.0017 0.0000 10.0120
Pt 2.0017 0.0000 14.1158
Pt 2.0017 2.0017 0.0000
Pt 2.0017 2.0017 4.0886
Pt 2.0017 2.0017 8.0799
Pt 2.0017 2.0017 12.0711
Rh 0.0000 0.0000 8.0799
```

ΔH_f (0 K) ... -2.36 eV/f.u.
Calculated volume ... 259.0 Å³/cell
M_tot ... 1.459 μB per formula unit
N(E_F) ... 19.75 states/eV per cell

=====

Record-wise total DFT energy (no corrections) values, in eV per cell: -14.6 -51.1 -21.2 -21.3 -20.3 -84.9